No. 1
NaPt2 | PBE-GGA | relaxed

CIF file:
```
data_NaPt2
_space_group_name_H-M_alt 'C m c m'
_space_group_IT_number 63
_space_group_name_Hall '-C 2c 2'
_cell_length_a 2.706
_cell_length_b 15.500
_cell_length_c 4.781
_cell_angle_alpha 90.00
_cell_angle_beta 90.00
_cell_angle_gamma 90.00
loop_
_atom_site_label
_atom_site_fract_x
_atom_site_fract_y
_atom_site_fract_z
Na1 0.000 0.113 0.250
Pt1 0.000 0.216 0.750
Pt2 0.000 0.444 0.250
```

Values from the calculation:
* formation energy from the elements: 0.0024 eV/atom
* offset from the most stable computed form: 389 meV/atom
* raw total energy: -53.57 eV/cell
* calculated volume: 16.71 A^3/atom
* N(E_F): 13.10 states/eV per cell

No. 2
LaEuRuAu | PBE-GGA | relaxed

CIF file:
```
data_LaEuRuAu
_space_group_name_H-M_alt 'F -4 3 m'
_space_group_IT_number 216
_space_group_name_Hall 'F -4 2 3'
_cell_length_a 7.271
_cell_length_b 7.271
_cell_length_c 7.271
_cell_angle_alpha 90.00
_cell_angle_beta 90.00
_cell_angle_gamma 90.00
loop_
_atom_site_label
_atom_site_fract_x
_atom_site_fract_y
_atom_site_fract_z
La1 0.000 0.000 0.000
Eu1 0.000 0.000 0.500
Ru1 0.250 0.250 0.750
Au1 0.250 0.250 0.250
```

Values from the calculation:
* formation energy from the elements: -0.3213 eV/atom
* raw total energy: -116.16 eV/cell
* calculated volume: 24.02 A^3/atom
* N(E_F): 46.14 states/eV per cell

No. 3
SiMoPb2 | PBE-GGA | relaxed

CIF file:
```
data_SiMoPb2
_space_group_name_H-M_alt 'I -4 m 2'
_space_group_IT_number 119
_space_group_name_Hall 'I -4 -2'
_cell_length_a 4.571
_cell_length_b 4.571
_cell_length_c 8.546
_cell_angle_alpha 90.00
_cell_angle_beta 90.00
_cell_angle_gamma 90.00
loop_
_atom_site_label
_atom_site_fract_x
_atom_site_fract_y
_atom_site_fract_z
Si1 0.000 0.000 0.000
Mo1 0.000 0.500 0.750
Pb1 0.000 0.000 0.500
Pb2 0.000 0.500 0.250
```

Values from the calculation:
* raw total energy: -40.51 eV/cell
* calculated volume: 22.32 A^3/atom
* formation energy without anion corrections: 0.854 eV/atom
* N(E_F): 3.56 states/eV per cell

No. 4
SeI3Br | PBE-GGA | relaxed

CIF file:
```
data_SeI3Br
_space_group_name_H-M_alt 'C 1 2/m 1'
_space_group_IT_number 12
_cell_length_a 15.274
_cell_length_b 8.817
_cell_length_c 10.247
_cell_angle_alpha 90.00
_cell_angle_beta 119.91
_cell_angle_gamma 90.00
loop_
_space_group_symop_operation_xyz
'x,y,z'
'-x,-y,-z'
'-x,y,-z'
'x,-y,z'
'x+1/2,y+1/2,z'
'-x+1/2,-y+1/2,-z'
'-x+1/2,y+1/2,-z'
'x+1/2,-y+1/2,z'
loop_
_atom_site_label
_atom_site_fract_x
_atom_site_fract_y
_atom_site_fract_z
Se1 0.122 0.000 0.365
I1 0.076 0.000 0.761
I2 0.158 0.234 0.239
Br1 0.200 0.500 0.101
```

Values from the calculation:
* offset from the most stable computed form: 0 meV/atom
* raw total energy: -40.50 eV/cell
* calculated volume: 59.81 A^3/atom
* formation energy without anion corrections: -0.063 eV/atom

No. 5
CaYAl | PBE-GGA | relaxed

CIF file:
```
data_CaYAl
_space_group_name_H-M_alt 'C 1 2/m 1'
_space_group_IT_number 12
_cell_length_a 11.340
_cell_length_b 5.124
_cell_length_c 6.657
_cell_angle_alpha 90.00
_cell_angle_beta 118.60
_cell_angle_gamma 90.00
loop_
_space_group_symop_operation_xyz
'x,y,z'
'-x,-y,-z'
'-x,y,-z'
'x,-y,z'
'x+1/2,y+1/2,z'
'-x+1/2,-y+1/2,-z'
'-x+1/2,y+1/2,-z'
'x+1/2,-y+1/2,z'
loop_
_atom_site_label
_atom_site_fract_x
_atom_site_fract_y
_atom_site_fract_z
Ca1 0.043 0.000 0.296
Y1 0.186 0.500 0.121
Al1 0.141 0.500 0.619
```

Values from the calculation:
* formation energy from the elements: -0.1345 eV/atom
* offset from the most stable computed form: 115 meV/atom
* raw total energy: -50.45 eV/cell
* calculated volume: 28.30 A^3/atom
* N(E_F): 9.14 states/eV per cell

No. 6
CaP2Br | PBE-GGA | relaxed

CIF file:
```
data_CaP2Br
_space_group_name_H-M_alt 'F m -3 m'
_space_group_IT_number 225
_space_group_name_Hall '-F 4 2 3'
_cell_length_a 7.093
_cell_length_b 7.093
_cell_length_c 7.093
_cell_angle_alpha 90.00
_cell_angle_beta 90.00
_cell_angle_gamma 90.00
loop_
_atom_site_label
_atom_site_fract_x
_atom_site_fract_y
_atom_site_fract_z
Ca1 0.000 0.000 0.000
P1 0.250 0.250 0.250
Br1 0.000 0.000 0.500
```

Values from the calculation:
* offset from the most stable computed form: 1197 meV/atom
* raw total energy: -52.15 eV/cell
* calculated volume: 22.31 A^3/atom
* formation energy without anion corrections: 0.364 eV/atom
* N(E_F): 22.94 states/eV per cell

No. 7
HfScTcRu | PBE-GGA | relaxed

CIF file:
```
data_HfScTcRu
_space_group_name_H-M_alt 'P 4 m m'
_space_group_IT_number 99
_cell_length_a 3.233
_cell_length_b 3.233
_cell_length_c 6.523
_cell_angle_alpha 90.00
_cell_angle_beta 90.00
_cell_angle_gamma 90.00
loop_
_space_group_symop_operation_xyz
'x,y,z'
'-y,x,z'
'-x,-y,z'
'y,-x,z'
'-x,y,z'
'y,x,z'
'x,-y,z'
'-y,-x,z'
loop_
_atom_site_label
_atom_site_fract_x
_atom_site_fract_y
_atom_site_fract_z
Hf1 0.000 0.000 0.000
Sc1 0.000 0.000 0.502
Tc1 0.500 0.500 0.247
Ru1 0.500 0.500 0.757
```

Values from the calculation:
* formation energy from the elements: -0.4766 eV/atom
* raw total energy: -37.83 eV/cell
* calculated volume: 17.05 A^3/atom
* N(E_F): 5.49 states/eV per cell

No. 8
KMnCl2 | PBE-GGA | relaxed

CIF file:
```
data_KMnCl2
_space_group_name_H-M_alt 'R 3 m'
_space_group_IT_number 160
_space_group_name_Hall 'R 3 -2"'
_cell_length_a 4.0576
_cell_length_b 4.0576
_cell_length_c 20.5974
_cell_angle_alpha 90.00
_cell_angle_beta 90.00
_cell_angle_gamma 120.00
loop_
_atom_site_label
_atom_site_fract_x
_atom_site_fract_y
_atom_site_fract_z
K1 0.0000 0.0000 0.0000
Mn1 0.0000 0.0000 0.8233
Cl1 0.0000 0.0000 0.2295
Cl2 0.0000 0.0000 0.4353
```

Values from the calculation:
* offset from the most stable computed form: 131 meV/atom
* raw total energy: -52.15 eV/cell
* calculated volume: 24.47 A^3/atom
* formation energy without anion corrections: -0.856 eV/atom
* N(E_F): 6.80 states/eV per cell